Record 1
## DyInHgIr (PBE)

Data for DyInHgIr after structural relaxation.

Results
* DFT formation energy: -0.317 eV/atom
* DFT total energy: -71.078 eV/cell

abc: 6.9510 6.9510 6.9510
angles: 90.00 90.00 90.00
Space group F-43m (No. 216)
Asymmetric unit:
Dy 0.0000 0.0000 0.0000
In 0.0000 0.0000 0.5000
Hg 0.2500 0.2500 0.2500
Ir 0.2500 0.2500 0.7500



Record 2
## La2DyIn3Hg6 (PBE)

Data for La2DyIn3Hg6 after structural relaxation.

Results
* DFT formation energy: -0.118 eV/atom
* DFT total energy: -25.901 eV/cell

abc: 4.3365 4.3365 20.3710
angles: 90.00 90.00 90.00
Space group P4/mmm (No. 123)
Asymmetric unit:
La 0.0000 0.0000 0.2191
Dy 0.0000 0.0000 0.5000
In 0.5000 0.5000 0.0000
In 0.5000 0.5000 0.2848
Hg 0.0000 0.5000 0.3899
Hg 0.5000 0.5000 0.1377



Record 3
## LiDyInHg (PBE)

Data for LiDyInHg after structural relaxation.

Results
* DFT formation energy: -0.417 eV/atom
* DFT total energy: -44.903 eV/cell

abc: 7.1643 7.1643 7.1643
angles: 90.00 90.00 90.00
Space group F-43m (No. 216)
Asymmetric unit:
Li 0.0000 0.0000 0.0000
Dy 0.0000 0.0000 0.5000
In 0.2500 0.2500 0.7500
Hg 0.2500 0.2500 0.2500



Record 4
## LiDy2InHg4 (PBE)

Data for LiDy2InHg4 after structural relaxation.

Results
* DFT formation energy: -0.430 eV/atom
* DFT total energy: -55.501 eV/cell

abc: 5.0805 5.0805 24.7977
angles: 90.00 90.00 120.00
Space group R-3m (No. 166, hexagonal axes)
Asymmetric unit:
Li 0.0000 0.0000 0.0000
Dy 0.0000 0.0000 0.2457
In 0.0000 0.0000 0.5000
Hg 0.0000 0.0000 0.1166
Hg 0.0000 0.0000 0.3677



Record 5
## Li2DyIn2Hg2 (PBE)

Data for Li2DyIn2Hg2 after structural relaxation.

Results
* DFT formation energy: -0.289 eV/atom
* DFT total energy: -49.609 eV/cell

abc: 4.8102 4.8102 23.3217
angles: 90.00 90.00 120.00
Space group R-3m (No. 166, hexagonal axes)
Asymmetric unit:
Li 0.0000 0.0000 0.1406
Dy 0.0000 0.0000 0.0000
In 0.0000 0.0000 0.2689
Hg 0.0000 0.0000 0.4327



Record 6
## DyLuInHg (PBE)

Data for DyLuInHg after structural relaxation.

Results
* DFT formation energy: -0.439 eV/atom
* DFT total energy: -55.675 eV/cell

abc: 7.4288 7.4288 7.4288
angles: 90.00 90.00 90.00
Space group F-43m (No. 216)
Asymmetric unit:
Dy 0.0000 0.0000 0.0000
Lu 0.0000 0.0000 0.5000
In 0.2500 0.2500 0.2500
Hg 0.2500 0.2500 0.7500